Arrangement A

A plane-wave DFT calculation with PBE-GGA was carried out for Er7TmSc2 after structural relaxation.

a = 5.271 Å, b = 9.215 Å, c = 9.210 Å
α = 56.06°, β = 106.64°, γ = 73.38°
Sites, in units of the cell vectors:
Er 0.000 0.202 0.202
Er 0.000 0.798 0.798
Er 0.750 0.862 0.363
Er 0.250 0.138 0.637
Er 0.751 0.637 0.139
Er 0.249 0.363 0.861
Er 0.500 0.500 0.500
Tm 0.000 0.000 0.000
Sc 0.501 0.300 0.301
Sc 0.499 0.700 0.699

Summary:
Space-group type: C2/m, No. 12
Mass density in g/cm3: 8.1


Arrangement B

A plane-wave DFT calculation with PBE-GGA was carried out for Er7TmSc2 after structural relaxation.

a = 5.489 Å, b = 8.695 Å, c = 8.695 Å
α = 120.10°, β = 90.00°, γ = 90.00°
Sites, in units of the cell vectors:
Er 0.000 0.764 0.236
Er 0.000 0.236 0.764
Er 0.500 0.062 0.299
Er 0.500 0.938 0.701
Er 0.500 0.299 0.062
Er 0.500 0.701 0.938
Er 0.500 0.500 0.500
Tm 0.000 0.000 0.000
Sc 0.500 0.706 0.294
Sc 0.500 0.294 0.706

Summary:
Space-group type: Cmmm, No. 65
Mass density in g/cm3: 6.6


Of them, arrangement B has the lowest stability.


Arrangement A

A plane-wave DFT calculation with PBE-GGA was carried out for Er4TmSc4 after structural relaxation.

a = 6.687 Å, b = 6.687 Å, c = 11.742 Å
α = 90.00°, β = 90.00°, γ = 90.00°
Sites, in units of the cell vectors:
Er 0.500 0.758 0.772
Er 0.500 0.242 0.772
Er 0.758 0.500 0.228
Er 0.242 0.500 0.228
Er 0.258 0.000 0.272
Er 0.742 0.000 0.272
Er 0.000 0.258 0.728
Er 0.000 0.742 0.728
Tm 0.000 0.000 0.000
Tm 0.500 0.500 0.500
Sc 0.217 0.500 0.944
Sc 0.783 0.500 0.944
Sc 0.500 0.783 0.056
Sc 0.500 0.217 0.056
Sc 0.000 0.717 0.444
Sc 0.000 0.283 0.444
Sc 0.283 0.000 0.556
Sc 0.717 0.000 0.556

Summary:
Space-group type: P4_2/nmc, No. 137
Mass density in g/cm3: 6.4


Arrangement B

A plane-wave DFT calculation with PBE-GGA was carried out for Er4TmSc4 after structural relaxation.

a = 4.803 Å, b = 7.593 Å, c = 7.593 Å
α = 84.26°, β = 71.56°, γ = 71.56°
Sites, in units of the cell vectors:
Er 0.668 0.663 0.000
Er 0.332 0.337 0.000
Er 0.668 0.000 0.663
Er 0.332 0.000 0.337
Tm 0.000 0.000 0.000
Sc 0.660 0.340 0.340
Sc 0.340 0.660 0.660
Sc 0.000 0.660 0.340
Sc 0.000 0.340 0.660

Summary:
Space-group type: I4/mmm, No. 139
Mass density in g/cm3: 6.8


Of them, arrangement A has the lowest stability.


Arrangement A

A plane-wave DFT calculation with PBE-GGA was carried out for Er3Tm4Sc4 after structural relaxation.

a = 3.379 Å, b = 5.357 Å, c = 17.338 Å
α = 81.14°, β = 84.40°, γ = 90.00°
Sites, in units of the cell vectors:
Er 0.138 0.639 0.724
Er 0.862 0.361 0.276
Er 0.000 0.000 0.000
Tm 0.547 0.547 0.906
Tm 0.453 0.453 0.094
Tm 0.318 0.818 0.364
Tm 0.682 0.182 0.636
Sc 0.592 0.092 0.817
Sc 0.266 0.266 0.468
Sc 0.734 0.734 0.532
Sc 0.408 0.908 0.183

Summary:
Space-group type: P-1, No. 2
Mass density in g/cm3: 7.3


Arrangement B

A plane-wave DFT calculation with PBE-GGA was carried out for Er3Tm4Sc4 after structural relaxation.

a = 3.421 Å, b = 4.806 Å, c = 18.996 Å
α = 97.27°, β = 95.15°, γ = 89.99°
Sites, in units of the cell vectors:
Er 0.637 0.637 0.274
Er 0.363 0.363 0.726
Er 0.000 0.000 0.000
Tm 0.547 0.547 0.094
Tm 0.453 0.453 0.906
Tm 0.816 0.816 0.632
Tm 0.184 0.184 0.368
Sc 0.092 0.092 0.184
Sc 0.272 0.272 0.543
Sc 0.728 0.728 0.457
Sc 0.908 0.908 0.816

Summary:
Space-group type: Immm, No. 71
Mass density in g/cm3: 7.3


Of them, arrangement A has the lowest stability.


Arrangement A

A plane-wave DFT calculation with PBE-GGA was carried out for Er2TmSc after structural relaxation.

a = 3.462 Å, b = 3.462 Å, c = 9.623 Å
α = 90.00°, β = 90.00°, γ = 90.00°
Sites, in units of the cell vectors:
Sc 0.500 0.500 0.000
Tm 0.500 0.500 0.500
Er 0.000 0.000 0.759
Er 0.000 0.000 0.241

Summary:
Space-group type: P4/mmm, No. 123
Mass density in g/cm3: 7.9


Arrangement B

A plane-wave DFT calculation with PBE-GGA was carried out for Er2TmSc after structural relaxation.

a = 3.480 Å, b = 3.480 Å, c = 11.197 Å
α = 81.06°, β = 81.06°, γ = 60.00°
Sites, in units of the cell vectors:
Er 0.081 0.081 0.756
Er 0.252 0.252 0.244
Tm 0.500 0.500 0.499
Sc 0.666 0.666 0.001

Summary:
Space-group type: R3m, No. 160
Mass density in g/cm3: 7.9


Of them, arrangement A has the lowest stability.


Arrangement A

A plane-wave DFT calculation with PBE-GGA was carried out for Er2TmSc after structural relaxation.

a = 3.469 Å, b = 6.009 Å, c = 11.269 Å
α = 84.91°, β = 98.85°, γ = 90.01°
Sites, in units of the cell vectors:
Er 0.173 0.688 0.829
Er 0.913 0.108 0.312
Er 0.413 0.608 0.312
Er 0.673 0.188 0.829
Tm 0.541 0.898 0.570
Tm 0.041 0.398 0.570
Sc 0.293 0.981 0.072
Sc 0.793 0.481 0.072

Summary:
Space-group type: Cm, No. 8
Mass density in g/cm3: 7.9


Arrangement B

A plane-wave DFT calculation with PBE-GGA was carried out for Er2TmSc after structural relaxation.

a = 6.687 Å, b = 6.749 Å, c = 10.666 Å
α = 89.91°, β = 90.00°, γ = 90.00°
Sites, in units of the cell vectors:
Er 0.372 0.124 0.387
Er 0.628 0.876 0.613
Er 0.372 0.876 0.113
Er 0.628 0.124 0.887
Er 0.123 0.369 0.616
Er 0.877 0.631 0.384
Er 0.123 0.631 0.884
Er 0.877 0.369 0.116
Tm 0.627 0.624 0.891
Tm 0.373 0.376 0.109
Tm 0.627 0.376 0.609
Tm 0.373 0.624 0.391
Sc 0.876 0.878 0.111
Sc 0.124 0.122 0.889
Sc 0.876 0.122 0.389
Sc 0.124 0.878 0.611

Summary:
Space-group type: P2/c, No. 13
Mass density in g/cm3: 7.6


Of them, arrangement B has the lowest stability.


Arrangement A

A plane-wave DFT calculation with PBE-GGA was carried out for Er2TmSc after structural relaxation.

a = 3.452 Å, b = 3.452 Å, c = 11.348 Å
α = 81.25°, β = 81.25°, γ = 60.00°
Sites, in units of the cell vectors:
Sc 0.000 0.000 0.000
Tm 0.500 0.500 0.500
Er 0.748 0.748 0.757
Er 0.252 0.252 0.243

Summary:
Space-group type: R-3m, No. 166
Mass density in g/cm3: 7.9


Arrangement B

A plane-wave DFT calculation with PBE-GGA was carried out for Er2TmSc after structural relaxation.

a = 5.485 Å, b = 5.485 Å, c = 5.485 Å
α = 60.00°, β = 60.00°, γ = 60.00°
Sites, in units of the cell vectors:
Sc 0.500 0.500 0.500
Tm 0.000 0.000 0.000
Er 0.250 0.250 0.250
Er 0.750 0.750 0.750

Summary:
Space-group type: Fm-3m, No. 225
Mass density in g/cm3: 7.8


Of them, arrangement B has the lowest stability.